No. 1
Ba2Mo | PBE | optimized geometry

CIF file:
```
data_Ba2Mo
_chemical_formula_sum 'Ba2 Mo1'
_symmetry_space_group_name_H-M 'P 1'
_symmetry_Int_Tables_number 1
_symmetry_space_group_name_Hall 'P 1'
_cell_length_a 5.8020
_cell_length_b 5.8020
_cell_length_c 3.7171
_cell_angle_alpha 90.00
_cell_angle_beta 90.00
_cell_angle_gamma 90.00
loop_
_atom_site_label
_atom_site_fract_x
_atom_site_fract_y
_atom_site_fract_z
Ba1 0.5000 0.0000 0.5000
Ba2 0.0000 0.5000 0.5000
Mo1 0.0000 0.0000 0.0000
```

As for the energy above the lowest structure with this stoichiometry: 572 meV/atom. As for the space group: P4/mmm. As for the volume: 125 Å³ per cell. The value obtained for the formation enthalpy at 0 K is 1.123 eV/atom.

No. 2
BaMo3 | PBE | optimized geometry

CIF file:
```
data_BaMo3
_chemical_formula_sum 'Ba2 Mo6'
_symmetry_space_group_name_H-M 'P 1'
_symmetry_Int_Tables_number 1
_symmetry_space_group_name_Hall 'P 1'
_cell_length_a 6.9187
_cell_length_b 6.9187
_cell_length_c 4.2229
_cell_angle_alpha 90.00
_cell_angle_beta 90.00
_cell_angle_gamma 111.20
loop_
_atom_site_label
_atom_site_fract_x
_atom_site_fract_y
_atom_site_fract_z
Mo1 0.9554 0.3360 0.2500
Mo2 0.0654 0.9346 0.2500
Mo3 0.3360 0.9554 0.7500
Mo4 0.6640 0.0446 0.2500
Mo5 0.9346 0.0654 0.7500
Mo6 0.0446 0.6640 0.7500
Ba1 0.6085 0.3915 0.7500
Ba2 0.3915 0.6085 0.2500
```

As for the energy above the lowest structure with this stoichiometry: 291 meV/atom. As for the space group: Cmcm. As for the volume: 188 Å³ per cell. The value obtained for the formation enthalpy at 0 K is 1.055 eV/atom.

No. 3
Ba5Mo4 | PBE | optimized geometry

CIF file:
```
data_Ba5Mo4
_chemical_formula_sum 'Ba10 Mo8'
_symmetry_space_group_name_H-M 'P 1'
_symmetry_Int_Tables_number 1
_symmetry_space_group_name_Hall 'P 1'
_cell_length_a 10.6505
_cell_length_b 10.6505
_cell_length_c 6.4644
_cell_angle_alpha 90.00
_cell_angle_beta 90.00
_cell_angle_gamma 120.00
loop_
_atom_site_label
_atom_site_fract_x
_atom_site_fract_y
_atom_site_fract_z
Mo1 0.0000 0.0000 0.0000
Mo2 0.1900 0.1900 0.7500
Mo3 0.0000 0.0000 0.5000
Mo4 0.0000 0.8100 0.7500
Mo5 0.8100 0.8100 0.2500
Mo6 0.1900 0.0000 0.2500
Mo7 0.0000 0.1900 0.2500
Mo8 0.8100 0.0000 0.7500
Ba1 0.3333 0.6667 0.0000
Ba2 0.0000 0.6557 0.2500
Ba3 0.0000 0.3443 0.7500
Ba4 0.6667 0.3333 0.0000
Ba5 0.6667 0.3333 0.5000
Ba6 0.3443 0.3443 0.2500
Ba7 0.3333 0.6667 0.5000
Ba8 0.6557 0.6557 0.7500
Ba9 0.6557 0.0000 0.2500
Ba10 0.3443 0.0000 0.7500
```

As for the energy above the lowest structure with this stoichiometry: 181 meV/atom. As for the space group: P6_3/mcm. As for the volume: 635 Å³ per cell. The value obtained for the formation enthalpy at 0 K is 1.041 eV/atom.

No. 4
BaMo | PBE | optimized geometry

CIF file:
```
data_BaMo
_chemical_formula_sum 'Ba1 Mo1'
_symmetry_space_group_name_H-M 'P 1'
_symmetry_Int_Tables_number 1
_symmetry_space_group_name_Hall 'P 1'
_cell_length_a 6.1975
_cell_length_b 6.1975
_cell_length_c 6.1975
_cell_angle_alpha 29.63
_cell_angle_beta 29.63
_cell_angle_gamma 29.63
loop_
_atom_site_label
_atom_site_fract_x
_atom_site_fract_y
_atom_site_fract_z
Ba1 0.0000 0.0000 0.0000
Mo1 0.5000 0.5000 0.5000
```

As for the energy above the lowest structure with this stoichiometry: 1114 meV/atom. As for the space group: R-3m. As for the volume: 52 Å³ per cell. The value obtained for the formation enthalpy at 0 K is 1.672 eV/atom.